(1)
A relaxed LiCoW2 crystal. Source: the Alexandria database, functional PBE-GGA.

Results
Energy of formation ... 0.43 eV per atom
Energy above the most stable polymorph in this dataset ... 0.54 eV/f.u.
Electronic total energy ... -8.31 eV per atom
Volume ... 53.89 Å³ per cell
Size of the total moment ... 0.3 μB per formula unit

Cell lengths 3.7470, 3.7924, 3.7924 Å; angles 90.00, 90.00, 90.00 degrees
Last column: nearest neighbours and their distance in Å.
Positions (direct):
1 W 0.0000 0.5000 0.5000  4 Co 2.67, 4 Li 2.67, 4 W 2.68
2 W 0.0000 0.0000 0.0000  4 Li 2.67, 4 Co 2.67, 4 W 2.68
3 Co 0.5000 0.5000 0.0000  8 W 2.67, 4 Li 2.68
4 Li 0.5000 0.0000 0.5000  8 W 2.67, 4 Co 2.68

(2)
A relaxed LiCoW4 crystal. Source: the Alexandria database, functional PBE-GGA.

Results
Energy of formation ... 0.78 eV per atom
Electronic total energy ... -9.36 eV per atom
Volume ... 101.17 Å³ per cell
Size of the total moment ... 1.4 μB per formula unit

Cell lengths 5.2303, 5.2303, 5.2303 Å; angles 60.00, 60.00, 60.00 degrees
Last column: nearest neighbours and their distance in Å.
Positions (direct):
1 Li 0.0000 0.0000 0.0000  12 W 3.06, 4 Co 3.20
2 W 0.3743 0.8772 0.3743  6 W 2.60-2.63
3 W 0.8772 0.3743 0.3743  6 W 2.60-2.63
4 W 0.3743 0.3743 0.3743  6 W 2.60-2.63
5 W 0.3743 0.3743 0.8772  6 W 2.60-2.63
6 Co 0.7500 0.7500 0.7500  12 W 3.07, 4 Li 3.20